[1]
SnO | PBE | optimized geometry

Cell and atoms, written as POSCAR:
```
SnO
1.0
5.056 0.000 0.000
0.000 5.638 0.000
0.000 0.000 11.718
Sn O
8 8
direct
0.140 0.004 0.485
0.214 0.696 0.752
0.286 0.304 0.252
0.360 0.996 0.985
0.640 0.496 0.515
0.714 0.804 0.248
0.786 0.196 0.748
0.860 0.504 0.015
0.009 0.039 0.310
0.199 0.657 0.936
0.301 0.343 0.436
0.491 0.961 0.810
0.509 0.461 0.690
0.699 0.843 0.064
0.801 0.157 0.564
0.991 0.539 0.190
```

Values from the calculation:
- SG = No. 19

[2]
Th6SbTe3Os2 | PBE | optimized geometry

Cell and atoms, written as POSCAR:
```
Th6SbTe3Os2
1.0
9.725 -2.140 0.000
9.725 2.140 0.000
-2.565 0.000 8.841
Th Sb Te Os
6 1 3 2
direct
0.021 0.021 0.260
0.320 0.320 0.441
0.328 0.328 0.869
0.672 0.672 0.131
0.680 0.680 0.559
0.979 0.979 0.740
0.500 0.500 0.000
0.156 0.156 0.838
0.500 0.500 0.500
0.844 0.844 0.162
0.170 0.170 0.338
0.830 0.830 0.662
```

Values from the calculation:
- SG = No. 12

[3]
TeIrOsPb | PBE | optimized geometry

Cell and atoms, written as POSCAR:
```
TeIrOsPb
1.0
3.456 -2.000 0.000
3.456 2.000 0.000
-2.405 0.000 7.236
Te Ir Os Pb
1 1 1 1
direct
0.000 0.000 0.000
0.869 0.869 0.634
0.246 0.246 0.758
0.451 0.451 0.393
```

Values from the calculation:
- SG = No. 8

Formation energy from raw total energies: -1.229; -0.894; 0.485 (eV/atom)
DFT total energy: -5.710; -7.605; -6.250 (eV/atom)